1.
! CaMoPt (PBE-GGA, relaxed); values from VASP
&SYSTEM
  ibrav = 0, nat = 6, ntyp = 3
/
ATOMIC_SPECIES
Ca 40.08 Ca.upf
Mo 95.94 Mo.upf
Pt 195.08 Pt.upf
CELL_PARAMETERS angstrom
-2.540 2.876 4.010
2.540 -2.876 4.010
2.540 2.876 -4.010
ATOMIC_POSITIONS crystal
Ca 0.373 0.123 0.250
Ca 0.627 0.877 0.750
Mo 0.000 0.000 0.500
Mo 0.000 0.500 0.000
Pt 0.000 0.500 0.500
Pt 0.500 0.500 0.000
! E_tot: -39.429 eV per cell
! volume: 19.53 A^3/atom
! formation energy from the elements: -0.84 eV per formula unit
! D(E_F): 6.35 states/eV per cell
! energy above the most stable polymorph in this dataset: 0 kJ/mol of formula units
! total moment: 0.00 μB/f.u.
! space group: Imma (74)



2.
! CaMoPt (PBE-GGA, relaxed); values from VASP
&SYSTEM
  ibrav = 0, nat = 12, ntyp = 3
/
ATOMIC_SPECIES
Ca 40.08 Ca.upf
Mo 95.94 Mo.upf
Pt 195.08 Pt.upf
CELL_PARAMETERS angstrom
5.222 0.000 0.000
0.000 4.552 0.000
0.000 0.000 10.540
ATOMIC_POSITIONS crystal
Ca 0.107 0.250 0.128
Ca 0.393 0.750 0.628
Ca 0.607 0.250 0.372
Ca 0.893 0.750 0.872
Mo 0.112 0.750 0.319
Mo 0.388 0.250 0.819
Mo 0.612 0.750 0.181
Mo 0.888 0.250 0.681
Pt 0.104 0.250 0.444
Pt 0.396 0.750 0.944
Pt 0.604 0.250 0.056
Pt 0.896 0.750 0.556
! E_tot: -75.695 eV per cell
! volume: 20.88 A^3/atom
! formation energy from the elements: -0.05 eV per formula unit
! D(E_F): 13.63 states/eV per cell
! energy above the most stable polymorph in this dataset: 76 kJ/mol of formula units
! total moment: 0.00 μB/f.u.
! space group: Pnma (62)



3.
! CaMoPt (PBE-GGA, relaxed); values from VASP
&SYSTEM
  ibrav = 0, nat = 3, ntyp = 3
/
ATOMIC_SPECIES
Ca 40.08 Ca.upf
Mo 95.94 Mo.upf
Pt 195.08 Pt.upf
CELL_PARAMETERS angstrom
0.000 3.270 3.270
3.270 0.000 3.270
3.270 3.270 0.000
ATOMIC_POSITIONS crystal
Ca 0.000 0.000 0.000
Mo 0.250 0.250 0.250
Pt 0.750 0.750 0.750
! E_tot: -15.564 eV per cell
! volume: 23.32 A^3/atom
! formation energy from the elements: 3.31 eV per formula unit
! D(E_F): 2.59 states/eV per cell
! energy above the most stable polymorph in this dataset: 400 kJ/mol of formula units
! total moment: 3.77 μB/f.u.
! space group: F-43m (216)



4.
! CaMoPt2 (PBE-GGA, relaxed); values from VASP
&SYSTEM
  ibrav = 0, nat = 4, ntyp = 3
/
ATOMIC_SPECIES
Ca 40.08 Ca.upf
Mo 95.94 Mo.upf
Pt 195.08 Pt.upf
CELL_PARAMETERS angstrom
3.518 -3.525 0.000
3.518 3.525 0.000
0.000 0.000 2.835
ATOMIC_POSITIONS crystal
Ca 0.000 0.000 0.000
Mo 0.500 0.500 0.000
Pt 0.000 0.500 0.500
Pt 0.500 0.000 0.500
! E_tot: -26.245 eV per cell
! volume: 17.58 A^3/atom
! formation energy from the elements: -1.33 eV per formula unit
! D(E_F): 3.33 states/eV per cell
! energy above the most stable polymorph in this dataset: 22 kJ/mol of formula units
! total moment: 0.00 μB/f.u.
! space group: Cmmm (65)



5.
! CaMoPt (PBE-GGA, relaxed); values from VASP
&SYSTEM
  ibrav = 0, nat = 6, ntyp = 3
/
ATOMIC_SPECIES
Ca 40.08 Ca.upf
Mo 95.94 Mo.upf
Pt 195.08 Pt.upf
CELL_PARAMETERS angstrom
5.239 0.000 0.000
-2.619 4.537 0.000
0.000 0.000 9.540
ATOMIC_POSITIONS crystal
Ca 0.333 0.667 0.250
Ca 0.667 0.333 0.750
Mo 0.000 0.000 0.250
Mo 0.000 0.000 0.750
Pt 0.000 0.000 0.000
Pt 0.000 0.000 0.500
! E_tot: -29.048 eV per cell
! volume: 37.79 A^3/atom
! formation energy from the elements: 4.35 eV per formula unit
! D(E_F): 5.10 states/eV per cell
! energy above the most stable polymorph in this dataset: 501 kJ/mol of formula units
! total moment: 3.32 μB/f.u.
! space group: P6_3/mmc (194)



6.
! CaMoPt (PBE-GGA, relaxed); values from VASP
&SYSTEM
  ibrav = 0, nat = 3, ntyp = 3
/
ATOMIC_SPECIES
Ca 40.08 Ca.upf
Mo 95.94 Mo.upf
Pt 195.08 Pt.upf
CELL_PARAMETERS angstrom
-1.443 1.989 5.428
1.443 -1.989 5.428
1.443 1.989 -5.428
ATOMIC_POSITIONS crystal
Ca 0.000 0.000 0.000
Mo 0.715 0.715 0.000
Pt 0.303 0.303 0.000
! E_tot: -18.695 eV per cell
! volume: 20.77 A^3/atom
! formation energy from the elements: 0.18 eV per formula unit
! D(E_F): 2.68 states/eV per cell
! energy above the most stable polymorph in this dataset: 98 kJ/mol of formula units
! total moment: 0.00 μB/f.u.
! space group: Imm2 (44)



Question: Which of these has the highest E_tot?
Answer: number 3



Question: Look up the total moment of the sixth one.
Answer: 0.00 μB/f.u.